VASP calculation (PBE) on a relaxed LaP2RuAu crystal.

## Properties
As for the calculated total energy: -20.8 eV/cell. Its space group is No. 123. The volume comes out at 158.9 Å³/f.u. For the theoretical density, the calculation gives 5.22 g/cm3. For the magnetization, the calculation gives 3.93 μB per cell. The value obtained for the formation energy is 1.498 eV per atom.

a = 5.3542 Å, b = 5.3542 Å, c = 5.5413 Å
α = 90.00°, β = 90.00°, γ = 90.00°
With the nearest neighbours (Å) after each atom.
Element x y z (fractional)
Ru: 0.5000 0.5000 0.5000  4 Au 3.79, 8 P 3.85
Au: 0.0000 0.0000 0.5000  2 La 2.77
P: 0.0000 0.5000 0.0000  2 La 2.68
P: 0.5000 0.0000 0.0000  2 La 2.68
La: 0.0000 0.0000 0.0000  4 P 2.68, 2 Au 2.77

---

VASP calculation (PBE) on a relaxed LiY2Cl crystal.

## Properties
As for the calculated total energy: -18.3 eV/cell. The energy relative to the elements, uncorrected comes out at -405 meV per atom. Its space group is No. 8. The volume comes out at 101.6 Å³/f.u. For the theoretical density, the calculation gives 3.60 g/cm3. The calculation puts the energy above the most stable polymorph in this dataset at 234.4 meV/atom. For the magnetization, the calculation gives 0.00 μB per cell.

a = 6.3921 Å, b = 6.3921 Å, c = 5.4422 Å
α = 64.86°, β = 64.86°, γ = 30.58°
With the nearest neighbours (Å) after each atom.
Element x y z (fractional)
Cl: 0.4978 0.4978 0.5014  2 Li 2.86, 2 Y 2.91
Li: 0.2062 0.2062 0.2943  2 Cl 2.86
Y: 0.0120 0.0120 0.9874  4 Cl 3.20-3.21, 4 Y 3.37-3.45, 2 Li 3.46-3.47
Y: 0.7840 0.7840 0.7168  2 Cl 2.91